[1]
Material: MnMoRh2
Method: DFT, PBE
State: optimized geometry

Values from the calculation:
* ΔH_f (0 K): -37 meV/atom
* ΔE to the lowest computed polymorph: 0.123 eV/atom
* total energy: -8.71 eV per atom

a = 2.7874 Å, b = 2.7874 Å, c = 26.0308 Å
α = 90.00°, β = 90.00°, γ = 120.00°
Space group R-3m (No. 166, hexagonal axes)
Symmetry-distinct sites (fractional):
1 Mn 0.0000 0.0000 0.0000 (multiplicity 3)
2 Mo 0.0000 0.0000 0.5000 (multiplicity 3)
3 Rh 0.0000 0.0000 0.2508 (multiplicity 6)



[2]
Material: SiMoC2
Method: DFT, PBE
State: optimized geometry

Values from the calculation:
* total energy: -8.22 eV per atom
* raw formation energy: 0.455 eV/atom

a = 4.664 Å, b = 4.664 Å, c = 8.704 Å
α = 90.00°, β = 90.00°, γ = 90.00°
Space group I-42d (No. 122)
Symmetry-distinct sites (fractional):
1 Si 0.000 0.000 0.000 (multiplicity 4)
2 Mo 0.000 0.000 0.500 (multiplicity 4)
3 C 0.221 0.250 0.125 (multiplicity 8)



[3]
Material: TlFeIr2
Method: DFT, PBE
State: optimized geometry

Values from the calculation:
* ΔH_f (0 K): 574 meV/atom
* ΔE to the lowest computed polymorph: 0.270 eV/atom
* total energy: -6.56 eV per atom

a = 6.361 Å, b = 6.361 Å, c = 6.361 Å
α = 90.00°, β = 90.00°, γ = 90.00°
Space group F-43m (No. 216)
Symmetry-distinct sites (fractional):
1 Tl 0.000 0.000 0.000 (multiplicity 4)
2 Fe 0.250 0.250 0.250 (multiplicity 4)
3 Ir 0.000 0.000 0.500 (multiplicity 4)
4 Ir 0.250 0.250 0.750 (multiplicity 4)



Please write out number 3 again, unchanged.
Material: TlFeIr2
Method: DFT, PBE
State: optimized geometry

Values from the calculation:
* ΔH_f (0 K): 574 meV/atom
* ΔE to the lowest computed polymorph: 0.270 eV/atom
* total energy: -6.56 eV per atom

a = 6.361 Å, b = 6.361 Å, c = 6.361 Å
α = 90.00°, β = 90.00°, γ = 90.00°
Space group F-43m (No. 216)
Symmetry-distinct sites (fractional):
1 Tl 0.000 0.000 0.000 (multiplicity 4)
2 Fe 0.250 0.250 0.250 (multiplicity 4)
3 Ir 0.000 0.000 0.500 (multiplicity 4)
4 Ir 0.250 0.250 0.750 (multiplicity 4)



> Which of these has the highest total energy?

TlFeIr2